# 1
CaCoHg (PBE-GGA, relaxed); uncorrected energy = -3.187 eV per atom; space-group type = P1; ΔH_f (0 K) = -0.2 eV/f.u.
1.0
4.040 0.000 0.000
-2.000 5.013 0.000
-0.006 -2.123 6.727
Ca Co Hg
2 2 2
Direct
0.000 0.000 0.000
0.281 0.566 0.523
0.287 0.576 0.054
0.764 0.530 0.189
0.531 0.060 0.346
0.659 0.321 0.788

---

# 2
InIrPd (PBE-GGA, relaxed); uncorrected energy = -5.607 eV per atom; space-group type = I4/mmm; ΔH_f (0 K) = 0.0 eV/f.u.
1.0
2.950 0.000 0.000
0.000 2.950 0.000
0.000 0.000 24.063
In Ir Pd
4 4 4
Direct
0.000 0.000 0.131
0.000 0.000 0.869
0.500 0.500 0.369
0.500 0.500 0.631
0.000 0.000 0.287
0.000 0.000 0.713
0.500 0.500 0.213
0.500 0.500 0.787
0.000 0.000 0.445
0.000 0.000 0.555
0.500 0.500 0.055
0.500 0.500 0.945

---

# 3
Ca2Mg2Zn (PBE-GGA, relaxed); uncorrected energy = -1.596 eV per atom; space-group type = Cmcm; ΔH_f (0 K) = 0.5 eV/f.u.
1.0
4.908 -3.857 0.000
4.908 3.857 0.000
0.000 0.000 8.007
Ca Mg Zn
4 4 2
Direct
0.192 0.192 0.000
0.192 0.192 0.500
0.808 0.808 0.000
0.808 0.808 0.500
0.336 0.664 0.582
0.336 0.664 0.918
0.664 0.336 0.082
0.664 0.336 0.418
0.294 0.706 0.250
0.706 0.294 0.750

---

# 4
LiPr3Te3 (PBE-GGA, relaxed); uncorrected energy = -4.881 eV per atom; space-group type = Pnma
1.0
12.684 0.000 0.000
0.000 4.524 0.000
0.000 0.000 14.499
Li Pr Te
4 12 12
Direct
0.058 0.250 0.184
0.442 0.750 0.684
0.558 0.250 0.316
0.942 0.750 0.816
0.053 0.250 0.610
0.139 0.750 0.991
0.220 0.750 0.271
0.280 0.250 0.771
0.361 0.250 0.491
0.447 0.750 0.110
0.553 0.250 0.890
0.639 0.750 0.509
0.720 0.750 0.229
0.780 0.250 0.729
0.861 0.250 0.009
0.947 0.750 0.390
0.042 0.250 0.845
0.128 0.250 0.402
0.238 0.750 0.617
0.262 0.250 0.117
0.372 0.750 0.902
0.458 0.750 0.345
0.542 0.250 0.655
0.628 0.250 0.098
0.738 0.750 0.883
0.762 0.250 0.383
0.872 0.750 0.598
0.958 0.750 0.155

---

# 5
NaPd5Au4 (PBE-GGA, relaxed); uncorrected energy = -3.988 eV per atom; space-group type = P-1; ΔH_f (0 K) = 0.5 eV/f.u.
1.0
4.850 0.000 0.000
-0.184 5.353 0.000
-0.594 -0.381 7.287
Na Pd Au
1 5 4
Direct
0.000 0.000 0.000
0.003 0.405 0.317
0.481 0.835 0.808
0.500 0.500 0.500
0.519 0.165 0.192
0.997 0.595 0.683
0.223 0.921 0.427
0.481 0.660 0.150
0.519 0.340 0.850
0.777 0.079 0.573

---

# 6
Ho5Te2Ir2 (PBE-GGA, relaxed); uncorrected energy = -6.283 eV per atom; space-group type = Cmce
1.0
7.794 -3.884 0.000
7.794 3.884 0.000
0.000 0.000 7.740
Ho Te Ir
10 4 4
Direct
0.000 0.000 0.000
0.044 0.725 0.658
0.225 0.544 0.158
0.275 0.956 0.658
0.456 0.775 0.158
0.500 0.500 0.500
0.544 0.225 0.842
0.725 0.044 0.342
0.775 0.456 0.842
0.956 0.275 0.342
0.210 0.210 0.000
0.290 0.290 0.500
0.710 0.710 0.500
0.790 0.790 0.000
0.139 0.861 0.362
0.361 0.639 0.862
0.639 0.361 0.138
0.861 0.139 0.638

---

# 7
AlOsPb2 (PBE-GGA, relaxed); uncorrected energy = -5.316 eV per atom; space-group type = Cm; ΔH_f (0 K) = 1.1 eV/f.u.
1.0
8.772 0.000 0.000
0.000 3.289 0.000
-2.283 0.000 6.889
Al Os Pb
2 2 4
Direct
0.000 0.000 0.000
0.500 0.500 0.000
0.286 0.000 0.005
0.786 0.500 0.005
0.134 0.500 0.678
0.300 0.500 0.326
0.634 0.000 0.678
0.800 0.000 0.326

---

# 8
LaIn2Br (PBE-GGA, relaxed); uncorrected energy = -3.356 eV per atom; space-group type = I-42d
1.0
9.466 0.000 0.000
0.000 9.466 0.000
0.000 0.000 5.992
La In Br
4 8 4
Direct
0.000 0.000 0.000
0.000 0.500 0.250
0.500 0.000 0.750
0.500 0.500 0.500
0.234 0.250 0.125
0.250 0.734 0.375
0.250 0.766 0.875
0.266 0.250 0.625
0.734 0.750 0.625
0.750 0.234 0.875
0.750 0.266 0.375
0.766 0.750 0.125
0.000 0.000 0.500
0.000 0.500 0.750
0.500 0.000 0.250
0.500 0.500 0.000